Record 1
## CuOs2Au (GGA-PBE)

Data for an optimized crystal structure of CuOs2Au.

Cell lengths 2.789, 3.798, 5.609 Å; angles 90.00, 90.19, 90.00 degrees
Positions (direct):
Cu 0.000 0.000 0.000
Os 0.000 0.000 0.539
Os 0.501 0.500 0.735
Au 0.499 0.500 0.233

Results
Total magnetic moment in μB/f.u.: 0.00
Electronic total energy in hartree per atom: -0.263
Space-group type: Pm
E_form in eV/atom: 0.290
Excess energy over the best structure of this formula in the dataset in meV/atom: 37
Calculated volume in A^3/atom: 14.85



Record 2
## CuOsAu2 (GGA-PBE)

Data for an optimized crystal structure of CuOsAu2.

Cell lengths 2.768, 2.768, 9.564 Å; angles 90.00, 90.00, 119.48 degrees
Positions (direct):
Cu 0.000 0.000 0.000
Os 0.000 0.000 0.500
Au 0.500 0.500 0.238
Au 0.500 0.500 0.762

Results
Total magnetic moment in μB/f.u.: 0.00
Electronic total energy in hartree per atom: -0.185
Space-group type: Cmmm
E_form in eV/atom: 0.446
Excess energy over the best structure of this formula in the dataset in meV/atom: 145
Calculated volume in A^3/atom: 15.95



Record 3
## CuOsAu2 (GGA-PBE)

Data for an optimized crystal structure of CuOsAu2.

Cell lengths 2.734, 4.828, 4.841 Å; angles 90.00, 90.00, 90.00 degrees
Positions (direct):
Cu 0.000 0.000 0.000
Os 0.500 0.500 0.000
Au 0.000 0.500 0.500
Au 0.500 0.000 0.500

Results
Total magnetic moment in μB/f.u.: 0.00
Electronic total energy in hartree per atom: -0.181
Space-group type: Pmmm
E_form in eV/atom: 0.548
Excess energy over the best structure of this formula in the dataset in meV/atom: 246
Calculated volume in A^3/atom: 15.98



Record 4
## CuOs2Au (GGA-PBE)

Data for an optimized crystal structure of CuOs2Au.

Cell lengths 2.702, 2.702, 9.497 Å; angles 90.00, 90.00, 119.31 degrees
Positions (direct):
Cu 0.000 0.000 0.000
Os 0.500 0.500 0.232
Os 0.500 0.500 0.768
Au 0.000 0.000 0.500

Results
Total magnetic moment in μB/f.u.: 0.00
Electronic total energy in hartree per atom: -0.250
Space-group type: Cmmm
E_form in eV/atom: 0.647
Excess energy over the best structure of this formula in the dataset in meV/atom: 393
Calculated volume in A^3/atom: 15.11



Record 5
## CuOsAu2 (GGA-PBE)

Data for an optimized crystal structure of CuOsAu2.

Cell lengths 2.768, 2.768, 8.173 Å; angles 90.00, 90.00, 90.00 degrees
Positions (direct):
Cu 0.000 0.000 0.000
Os 0.500 0.500 0.216
Au 0.000 0.000 0.475
Au 0.500 0.500 0.760

Results
Total magnetic moment in μB/f.u.: 0.05
Electronic total energy in hartree per atom: -0.187
Space-group type: P4mm
E_form in eV/atom: 0.379
Excess energy over the best structure of this formula in the dataset in meV/atom: 77
Calculated volume in A^3/atom: 15.65



Record 6
## CuOs2Au2 (GGA-PBE)

Data for an optimized crystal structure of CuOs2Au2.

Cell lengths 7.588, 7.588, 7.588 Å; angles 153.26, 153.26, 38.18 degrees
Positions (direct):
Cu 0.000 0.000 0.000
Os 0.250 0.750 0.500
Os 0.750 0.250 0.500
Au 0.406 0.406 0.000
Au 0.594 0.594 0.000

Results
Total magnetic moment in μB/f.u.: 0.00
Electronic total energy in hartree per atom: -0.215
Space-group type: I4/mmm
E_form in eV/atom: 0.775
Calculated volume in A^3/atom: 17.67



Record 7
## CuOs2Au (GGA-PBE)

Data for an optimized crystal structure of CuOs2Au.

Cell lengths 5.699, 5.699, 5.699 Å; angles 100.60, 100.60, 129.19 degrees
Positions (direct):
Cu 0.000 0.000 0.000
Cu 0.750 0.250 0.500
Os 0.075 0.625 0.950
Os 0.375 0.325 0.450
Os 0.675 0.125 0.050
Os 0.875 0.925 0.550
Au 0.250 0.750 0.500
Au 0.500 0.500 0.000

Results
Total magnetic moment in μB/f.u.: 0.00
Electronic total energy in hartree per atom: -0.231
Space-group type: I-42d
E_form in eV/atom: 1.169
Excess energy over the best structure of this formula in the dataset in meV/atom: 915
Calculated volume in A^3/atom: 16.20



Record 8
## CuOs2Au (GGA-PBE)

Data for an optimized crystal structure of CuOs2Au.

Cell lengths 2.801, 2.801, 7.596 Å; angles 90.00, 90.00, 90.00 degrees
Positions (direct):
Cu 0.000 0.000 0.000
Os 0.000 0.000 0.463
Os 0.500 0.500 0.245
Au 0.500 0.500 0.749

Results
Total magnetic moment in μB/f.u.: 0.00
Electronic total energy in hartree per atom: -0.265
Space-group type: P4mm
E_form in eV/atom: 0.254
Excess energy over the best structure of this formula in the dataset in meV/atom: 0
Calculated volume in A^3/atom: 14.90